Entry from Alexandria: TcRu2W after structural relaxation (PBEsol).

Values from the calculation:
Uncorrected energy, eV per atom: -11.33
Formation energy, eV/f.u.: 0.12
Volume, Å³/cell: 113
Offset from the most stable computed form, kJ/mol of atoms: 1.1

```
data_TcRu2W
_cell_length_a 3.839
_cell_length_b 3.839
_cell_length_c 7.637
_cell_angle_alpha 90.00
_cell_angle_beta 90.00
_cell_angle_gamma 90.00
_symmetry_space_group_name_H-M 'I 4/m m m'
_symmetry_Int_Tables_number 139
_symmetry_space_group_name_Hall '-I 4 2'
loop_
_atom_site_label
_atom_site_type_symbol
_atom_site_fract_x
_atom_site_fract_y
_atom_site_fract_z
_atom_site_occupancy
Tc1 Tc 0.000 0.000 0.000 1
Ru1 Ru 0.000 0.500 0.250 1
W1 W 0.000 0.000 0.500 1
```